Record 1
The following is a GGA-PBE calculation of a relaxed structure of K12Br5O3, from Alexandria.

Cell: 13.4445 13.4445 4.3246 Å, 90.00 90.00 120.00°
Sites, in units of the cell vectors:
K (0.0000, 0.1947, 0.0000)
K (0.0000, 0.4502, 0.0000)
K (0.1947, 0.0000, 0.0000)
K (0.2136, 0.7791, 0.5000)
K (0.2209, 0.4346, 0.5000)
K (0.4346, 0.2209, 0.5000)
K (0.4502, 0.0000, 0.0000)
K (0.5498, 0.5498, 0.0000)
K (0.5654, 0.7864, 0.5000)
K (0.7791, 0.2136, 0.5000)
K (0.7864, 0.5654, 0.5000)
K (0.8053, 0.8053, 0.0000)
Br (0.0000, 0.6985, 0.0000)
Br (0.3015, 0.3015, 0.0000)
Br (0.3333, 0.6667, 0.0000)
Br (0.6667, 0.3333, 0.0000)
Br (0.6985, 0.0000, 0.0000)
O (0.0000, 0.3324, 0.5000)
O (0.3324, 0.0000, 0.5000)
O (0.6676, 0.6676, 0.5000)

The calculation puts the volume at 33.85 Å³ per atom. The calculation puts the density of states at the Fermi level at 1.514 states/eV per cell. The calculation puts the density at 2249 kg/m³. The value obtained for the uncorrected formation energy is -1.3316 eV/atom.



Record 2
The following is a GGA-PBE calculation of a relaxed structure of RbGa2Pt, from Alexandria.

Cell: 4.9636 4.9636 4.9636 Å, 60.00 60.00 60.00°
Sites, in units of the cell vectors:
Rb (0.0000, 0.0000, 0.0000)
Ga (0.2500, 0.2500, 0.2500)
Ga (0.7500, 0.7500, 0.7500)
Pt (0.5000, 0.5000, 0.5000)

The calculation puts the volume at 21.62 Å³ per atom. As for the total energy: -3.101 eV per atom. The calculation puts the density of states at the Fermi level at 2.597 states/eV per cell. The calculation puts the density at 8065 kg/m³.



Record 3
The following is a GGA-PBE calculation of a relaxed structure of RbAcTi2O6, from Alexandria.

Cell: 7.8682 7.8682 5.8374 Å, 95.67 95.67 92.06°
Sites, in units of the cell vectors:
Rb (0.0880, 0.9120, 0.7500)
Rb (0.9120, 0.0880, 0.2500)
Ac (0.2997, 0.7003, 0.2500)
Ac (0.7003, 0.2997, 0.7500)
Ti (0.2085, 0.3785, 0.7203)
Ti (0.3785, 0.2085, 0.2203)
Ti (0.6215, 0.7915, 0.7797)
Ti (0.7915, 0.6215, 0.2797)
O (0.0074, 0.2613, 0.6979)
O (0.1842, 0.5839, 0.8572)
O (0.2613, 0.0074, 0.1979)
O (0.2866, 0.3856, 0.4181)
O (0.3856, 0.2866, 0.9181)
O (0.4161, 0.8158, 0.6428)
O (0.5839, 0.1842, 0.3572)
O (0.6144, 0.7134, 0.0819)
O (0.7134, 0.6144, 0.5819)
O (0.7387, 0.9926, 0.8021)
O (0.8158, 0.4161, 0.1428)
O (0.9926, 0.7387, 0.3021)

The calculation puts the volume at 17.87 Å³ per atom. The calculation puts the density of states at the Fermi level at 0.000 states/eV per cell. The calculation puts the density at 4684 kg/m³. The value obtained for the uncorrected formation energy is -2.9494 eV/atom.



Record 4
The following is a GGA-PBE calculation of a relaxed structure of ErBiRh2, from Alexandria.

Cell: 4.6278 4.6278 3.6317 Å, 90.00 90.00 90.00°
Sites, in units of the cell vectors:
Er (0.0000, 0.0000, 0.0000)
Bi (0.5000, 0.5000, 0.0000)
Rh (0.0000, 0.5000, 0.5000)
Rh (0.5000, 0.0000, 0.5000)

The calculation puts the volume at 19.44 Å³ per atom. As for the total energy: -6.354 eV per atom. The calculation puts the density of states at the Fermi level at 4.170 states/eV per cell. The calculation puts the density at 12427 kg/m³.



Record 5
The following is a GGA-PBE calculation of a relaxed structure of CsFe2P2, from Alexandria.

Cell: 7.5448 7.5448 7.5448 Å, 150.45 150.45 42.28°
Sites, in units of the cell vectors:
Cs (0.0000, 0.0000, 0.0000)
Fe (0.3281, 0.3281, 0.0000)
Fe (0.6719, 0.6719, 0.0000)
P (0.2500, 0.7500, 0.5000)
P (0.7500, 0.2500, 0.5000)

The calculation puts the volume at 20.84 Å³ per atom. As for the total energy: -5.515 eV per atom. The calculation puts the density of states at the Fermi level at 4.036 states/eV per cell. The calculation puts the density at 4885 kg/m³.



Record 6
The following is a GGA-PBE calculation of a relaxed structure of Y4AlZn2Ag, from Alexandria.

Cell: 8.8555 8.8555 8.8555 Å, 33.46 33.46 33.46°
Sites, in units of the cell vectors:
Y (0.1243, 0.1243, 0.1243)
Y (0.3744, 0.3744, 0.3744)
Y (0.6256, 0.6256, 0.6256)
Y (0.8757, 0.8757, 0.8757)
Al (0.0000, 0.0000, 0.0000)
Zn (0.2513, 0.2513, 0.2513)
Zn (0.7487, 0.7487, 0.7487)
Ag (0.5000, 0.5000, 0.5000)

The calculation puts the volume at 23.50 Å³ per atom. As for the total energy: -4.744 eV per atom. The calculation puts the density of states at the Fermi level at 5.268 states/eV per cell. The calculation puts the density at 5488 kg/m³.



Record 7
The following is a GGA-PBE calculation of a relaxed structure of NiMoPd6, from Alexandria.

Cell: 4.9609 4.9695 4.9876 Å, 92.04 92.37 92.04°
Sites, in units of the cell vectors:
Ni (0.0000, 0.0000, 0.0000)
Mo (0.5000, 0.5000, 0.5000)
Pd (0.0188, 0.7508, 0.4698)
Pd (0.2490, 0.5292, 0.9780)
Pd (0.4754, 0.0174, 0.7508)
Pd (0.5246, 0.9826, 0.2492)
Pd (0.7510, 0.4708, 0.0220)
Pd (0.9812, 0.2492, 0.5302)

The calculation puts the volume at 15.34 Å³ per atom. The polymorph energy (0 for the lowest one) is 100.6 meV per atom. The calculation puts the density of states at the Fermi level at 8.868 states/eV per cell. The calculation puts the density at 10735 kg/m³.



Record 8
The following is a GGA-PBE calculation of a relaxed structure of ThZnGa, from Alexandria.

Cell: 4.2130 4.2130 4.2130 Å, 77.63 77.63 77.63°
Sites, in units of the cell vectors:
Th (0.0000, 0.0000, 0.0000)
Zn (0.6446, 0.6446, 0.6446)
Ga (0.3570, 0.3570, 0.3570)

The calculation puts the volume at 23.41 Å³ per atom. As for the total energy: -4.027 eV per atom. The calculation puts the density of states at the Fermi level at 3.260 states/eV per cell. The calculation puts the density at 8682 kg/m³.



Record 9
The following is a GGA-PBE calculation of a relaxed structure of Pm2PtRh, from Alexandria.

Cell: 5.0238 5.0238 5.0238 Å, 60.00 60.00 60.00°
Sites, in units of the cell vectors:
Pm (0.2500, 0.2500, 0.2500)
Pm (0.7500, 0.7500, 0.7500)
Pt (0.0000, 0.0000, 0.0000)
Rh (0.5000, 0.5000, 0.5000)

The calculation puts the volume at 22.41 Å³ per atom. The polymorph energy (0 for the lowest one) is 65.3 meV per atom. The calculation puts the density of states at the Fermi level at 2.681 states/eV per cell. The calculation puts the density at 10891 kg/m³.



Record 10
The following is a GGA-PBE calculation of a relaxed structure of PmYRe4, from Alexandria.

Cell: 5.4580 5.4580 5.4580 Å, 60.00 60.00 60.00°
Sites, in units of the cell vectors:
Pm (0.0000, 0.0000, 0.0000)
Y (0.7500, 0.7500, 0.7500)
Re (0.3750, 0.3750, 0.3750)
Re (0.3750, 0.3750, 0.8749)
Re (0.3750, 0.8749, 0.3750)
Re (0.8749, 0.3750, 0.3750)

The calculation puts the volume at 19.16 Å³ per atom. As for the total energy: -10.249 eV per atom. The calculation puts the density of states at the Fermi level at 7.927 states/eV per cell. The calculation puts the density at 14136 kg/m³.



Record 11
The following is a GGA-PBE calculation of a relaxed structure of Sr2YRu, from Alexandria.

Cell: 5.4839 5.4839 5.4839 Å, 60.00 60.00 60.00°
Sites, in units of the cell vectors:
Sr (0.2500, 0.2500, 0.2500)
Sr (0.7500, 0.7500, 0.7500)
Y (0.0000, 0.0000, 0.0000)
Ru (0.5000, 0.5000, 0.5000)

The calculation puts the volume at 29.15 Å³ per atom. The polymorph energy (0 for the lowest one) is 577.0 meV per atom. The calculation puts the density of states at the Fermi level at 5.533 states/eV per cell. The calculation puts the density at 5201 kg/m³.



Record 12
The following is a GGA-PBE calculation of a relaxed structure of Dy4Er3Al4, from Alexandria.

Cell: 9.4900 9.4900 9.4900 Å, 148.73 138.91 52.53°
Sites, in units of the cell vectors:
Dy (0.0572, 0.8200, 0.2372)
Dy (0.4173, 0.1800, 0.2372)
Dy (0.5827, 0.8200, 0.7628)
Dy (0.9428, 0.1800, 0.7628)
Er (0.0000, 0.5000, 0.5000)
Er (0.4021, 0.4021, 0.0000)
Er (0.5979, 0.5979, 0.0000)
Al (0.1711, 0.6711, 0.5000)
Al (0.2943, 0.0000, 0.2943)
Al (0.7057, 0.0000, 0.7057)
Al (0.8289, 0.3289, 0.5000)

The calculation puts the volume at 26.36 Å³ per atom. As for the total energy: -4.449 eV per atom. The calculation puts the density of states at the Fermi level at 10.709 states/eV per cell. The calculation puts the density at 7214 kg/m³.